# 1
Material: BeRu3C
Method: DFT, GGA-PBE
State: relaxed

Geometry as POSCAR:
```
BeRu3C
1.0
3.974 0.000 0.000
0.000 3.974 0.000
0.000 0.000 3.974
C Ru Be
1 3 1
direct
0.000 0.000 0.000 C
0.000 0.000 0.500 Ru
0.000 0.500 0.000 Ru
0.500 0.000 0.000 Ru
0.500 0.500 0.500 Be
```

Values from the calculation:
SG	Pm-3m
ΔE to the lowest computed polymorph	0.0	meV/atom
ΔH_f (0 K)	0.294	eV/atom
crystal system	cubic

---

# 2
Material: BeRuC3
Method: DFT, GGA-PBE
State: relaxed

Geometry as POSCAR:
```
BeRuC3
1.0
3.519 0.000 0.000
0.000 3.519 0.000
0.000 0.000 3.519
C Ru Be
3 1 1
direct
0.000 0.500 0.000 C
0.000 0.000 0.500 C
0.500 0.000 0.000 C
0.500 0.500 0.500 Ru
0.000 0.000 0.000 Be
```

Values from the calculation:
SG	Pm-3m
ΔE to the lowest computed polymorph	0.0	meV/atom
ΔH_f (0 K)	2.327	eV/atom
crystal system	cubic

---

# 3
Material: Be4RuC
Method: DFT, GGA-PBE
State: relaxed

Geometry as POSCAR:
```
Be4RuC
1.0
-1.079 -1.134 -3.845
2.820 -1.692 -2.533
-0.244 -4.025 -0.985
Be Ru C
4 1 1
direct
0.625 0.625 0.625 Be
0.625 0.625 0.126 Be
0.126 0.625 0.625 Be
0.625 0.126 0.625 Be
0.000 0.000 0.000 Ru
0.250 0.250 0.250 C
```

Values from the calculation:
SG	F-43m
ΔH_f (0 K)	0.505	eV/atom
crystal system	cubic

---

# 4
Material: ScBeRu2C
Method: DFT, GGA-PBE
State: relaxed

Geometry as POSCAR:
```
ScBeRu2C
1.0
4.664 0.000 0.000
0.000 4.006 0.000
0.000 0.000 4.664
C Be Ru Sc
1 1 2 1
direct
0.000 0.500 0.000 C
0.500 0.500 0.500 Be
0.500 0.000 0.000 Ru
0.000 0.000 0.500 Ru
0.000 0.000 0.000 Sc
```

Values from the calculation:
SG	P4/mmm
ΔH_f (0 K)	2.124	eV/atom
crystal system	tetragonal

---

# 5
Material: ScBeRuC2
Method: DFT, GGA-PBE
State: relaxed

Geometry as POSCAR:
```
ScBeRuC2
1.0
3.963 0.000 0.000
0.000 4.064 0.000
0.000 0.000 3.963
C Ru Be Sc
2 1 1 1
direct
0.000 0.000 0.500 C
0.500 0.000 0.000 C
0.000 0.000 0.000 Ru
0.000 0.500 0.000 Be
0.500 0.500 0.500 Sc
```

Values from the calculation:
SG	P4/mmm
ΔH_f (0 K)	0.869	eV/atom
crystal system	tetragonal

---

# 6
Material: TaBe2RuC
Method: DFT, GGA-PBE
State: relaxed

Geometry as POSCAR:
```
TaBe2RuC
1.0
4.509 0.000 0.000
0.000 4.636 0.000
0.000 0.000 4.509
Be C Ru Ta
2 1 1 1
direct
0.000 0.000 0.500 Be
0.500 0.000 0.000 Be
0.500 0.500 0.500 C
0.000 0.500 0.000 Ru
0.000 0.000 0.000 Ta
```

Values from the calculation:
SG	P4/mmm
ΔH_f (0 K)	2.829	eV/atom
crystal system	tetragonal

---

# 7
Material: TaBeRu2C
Method: DFT, GGA-PBE
State: relaxed

Geometry as POSCAR:
```
TaBeRu2C
1.0
-1.915 3.861 2.050
-3.471 -0.692 -1.939
-1.504 -2.684 3.649
C Ru Ta Be
1 2 1 1
direct
0.000 0.500 0.000 C
0.000 0.000 0.500 Ru
0.500 0.000 0.000 Ru
0.000 0.000 0.000 Ta
0.500 0.500 0.500 Be
```

Values from the calculation:
SG	P4/mmm
ΔH_f (0 K)	1.997	eV/atom
crystal system	tetragonal

---

# 8
Material: TbBeRu2C
Method: DFT, GGA-PBE
State: relaxed

Geometry as POSCAR:
```
TbBeRu2C
1.0
-2.278 1.126 -2.824
-3.048 -2.653 3.957
-1.060 6.141 3.302
Ru Tb Be C
4 2 2 2
direct
0.174 0.347 0.942 Ru
0.826 0.653 0.442 Ru
0.826 0.653 0.058 Ru
0.174 0.347 0.558 Ru
0.544 0.088 0.250 Tb
0.456 0.912 0.750 Tb
0.729 0.459 0.750 Be
0.271 0.541 0.250 Be
0.000 0.000 0.500 C
0.000 0.000 0.000 C
```

Values from the calculation:
SG	Cmcm
ΔH_f (0 K)	-0.346	eV/atom
crystal system	orthorhombic

---

# 9
Material: ThBeRuC
Method: DFT, GGA-PBE
State: relaxed

Geometry as POSCAR:
```
ThBeRuC
1.0
3.752 0.000 0.000
0.000 3.752 0.000
0.000 0.000 8.611
Be C Ru Th
2 2 2 2
direct
0.500 0.000 0.672 Be
0.000 0.500 0.328 Be
0.500 0.000 0.872 C
0.000 0.500 0.128 C
0.500 0.500 0.500 Ru
0.000 0.000 0.500 Ru
0.500 0.000 0.162 Th
0.000 0.500 0.838 Th
```

Values from the calculation:
SG	P4/nmm
ΔH_f (0 K)	-0.254	eV/atom
crystal system	tetragonal

---

# 10
Material: UBeRuC
Method: DFT, GGA-PBE
State: relaxed

Geometry as POSCAR:
```
UBeRuC
1.0
-1.602 -1.982 -2.560
3.203 -0.555 -1.575
1.087 -6.847 4.621
Ru C Be U
2 2 2 2
direct
0.000 0.000 0.500 Ru
0.500 0.500 0.500 Ru
0.500 0.000 0.884 C
0.000 0.500 0.116 C
0.500 0.000 0.679 Be
0.000 0.500 0.321 Be
0.500 0.000 0.159 U
0.000 0.500 0.841 U
```

Values from the calculation:
SG	P4/nmm
ΔH_f (0 K)	-0.091	eV/atom
crystal system	tetragonal

---

# 11
Material: Y2BeRuC
Method: DFT, GGA-PBE
State: relaxed

Geometry as POSCAR:
```
Y2BeRuC
1.0
-1.687 -1.346 -4.490
-1.096 -4.526 1.768
-3.112 1.084 0.844
Be C Y Ru
1 1 2 1
direct
0.000 0.000 0.500 Be
0.000 0.000 0.000 C
0.500 0.000 0.000 Y
0.000 0.500 0.000 Y
0.500 0.500 0.500 Ru
```

Values from the calculation:
SG	P4/mmm
ΔH_f (0 K)	-0.159	eV/atom
crystal system	tetragonal

---

# 12
Material: Be2ZnRuC
Method: DFT, GGA-PBE
State: relaxed

Geometry as POSCAR:
```
Be2ZnRuC
1.0
4.100 0.000 0.000
0.000 4.740 0.000
0.000 0.000 4.100
Be Zn Ru C
2 1 1 1
direct
0.000 0.000 0.500 Be
0.500 0.000 0.000 Be
0.000 0.500 0.000 Zn
0.000 0.000 0.000 Ru
0.500 0.500 0.500 C
```

Values from the calculation:
SG	P4/mmm
ΔH_f (0 K)	1.910	eV/atom
crystal system	tetragonal

---

# 13
Material: BeC3S
Method: DFT, GGA-PBE
State: relaxed

Geometry as POSCAR:
```
BeC3S
1.0
3.540 0.000 0.000
0.000 3.540 0.000
0.000 0.000 3.540
C S Be
3 1 1
direct
0.500 0.000 0.000 C
0.000 0.500 0.000 C
0.000 0.000 0.500 C
0.000 0.000 0.000 S
0.500 0.500 0.500 Be
```

Values from the calculation:
SG	Pm-3m
ΔE to the lowest computed polymorph	0.0	meV/atom
crystal system	cubic
energy relative to the elements, uncorrected	254	kJ per mole of atoms

---

# 14
Material: BeC3S
Method: DFT, GGA-PBE
State: relaxed

Geometry as POSCAR:
```
BeC3S
1.0
3.653 0.000 0.000
0.000 3.653 0.000
0.000 0.000 3.653
C S Be
3 1 1
direct
0.000 0.500 0.000 C
0.000 0.000 0.500 C
0.500 0.000 0.000 C
0.500 0.500 0.500 S
0.000 0.000 0.000 Be
```

Values from the calculation:
SG	Pm-3m
ΔE to the lowest computed polymorph	65.8	meV/atom
crystal system	cubic
energy relative to the elements, uncorrected	261	kJ per mole of atoms

---

# 15
Material: Be4C2S
Method: DFT, GGA-PBE
State: relaxed

Geometry as POSCAR:
```
Be4C2S
1.0
4.191 0.000 0.000
0.000 4.191 0.000
2.095 2.095 4.284
Be C S
4 2 1
direct
0.234 0.234 0.532 Be
0.500 0.000 0.000 Be
0.000 0.500 0.000 Be
0.766 0.766 0.468 Be
0.420 0.420 0.159 C
0.580 0.580 0.841 C
0.000 0.000 0.000 S
```

Values from the calculation:
SG	I4/mmm
crystal system	tetragonal
energy relative to the elements, uncorrected	65	kJ per mole of atoms

---

# 16
Material: BeCSeS2
Method: DFT, GGA-PBE
State: relaxed

Geometry as POSCAR:
```
BeCSeS2
1.0
-2.228 -1.702 2.609
6.140 -0.983 4.603
-0.681 3.396 1.634
Se S C Be
1 2 1 1
direct
0.000 0.500 0.000 Se
0.500 0.000 0.000 S
0.000 0.000 0.500 S
0.500 0.500 0.500 C
0.000 0.000 0.000 Be
```

Values from the calculation:
SG	P4/mmm
crystal system	tetragonal
energy relative to the elements, uncorrected	146	kJ per mole of atoms

---

# 17
Material: BeTeC2S
Method: DFT, GGA-PBE
State: relaxed

Geometry as POSCAR:
```
BeTeC2S
1.0
3.502 0.000 0.000
0.000 8.221 0.000
0.000 0.000 3.502
Be Te C S
1 1 2 1
direct
0.500 0.500 0.500 Be
0.000 0.500 0.000 Te
0.000 0.000 0.500 C
0.500 0.000 0.000 C
0.000 0.000 0.000 S
```

Values from the calculation:
SG	P4/mmm
crystal system	tetragonal
energy relative to the elements, uncorrected	183	kJ per mole of atoms

---

# 18
Material: Be2TeCS
Method: DFT, GGA-PBE
State: relaxed

Geometry as POSCAR:
```
Be2TeCS
1.0
-1.377 -0.242 4.502
-3.917 -1.003 -1.252
1.138 -4.573 0.102
Be S C Te
2 1 1 1
direct
0.500 0.000 0.000 Be
0.000 0.000 0.500 Be
0.500 0.500 0.500 S
0.000 0.500 0.000 C
0.000 0.000 0.000 Te
```

Values from the calculation:
SG	P4/mmm
crystal system	tetragonal
energy relative to the elements, uncorrected	175	kJ per mole of atoms

---

# 19
Material: Be3SbC
Method: DFT, GGA-PBE
State: relaxed

Geometry as POSCAR:
```
Be3SbC
1.0
4.553 0.000 0.000
0.000 4.553 0.000
0.000 0.000 4.553
Sb C Be
1 1 3
direct
0.000 0.000 0.000 Sb
0.500 0.500 0.500 C
0.000 0.500 0.000 Be
0.500 0.000 0.000 Be
0.000 0.000 0.500 Be
```

Values from the calculation:
SG	Pm-3m
ΔE to the lowest computed polymorph	1863.9	meV/atom
crystal system	cubic
energy relative to the elements, uncorrected	230	kJ per mole of atoms

---

# 20
Material: Be3SbC
Method: DFT, GGA-PBE
State: relaxed

Geometry as POSCAR:
```
Be3SbC
1.0
3.833 0.000 0.000
0.000 3.833 0.000
0.000 0.000 3.833
Be Sb C
3 1 1
direct
0.000 0.500 0.000 Be
0.500 0.000 0.000 Be
0.000 0.000 0.500 Be
0.500 0.500 0.500 Sb
0.000 0.000 0.000 C
```

Values from the calculation:
SG	Pm-3m
ΔE to the lowest computed polymorph	0.0	meV/atom
crystal system	cubic
energy relative to the elements, uncorrected	50	kJ per mole of atoms

---

# 21
Material: BeSb3C
Method: DFT, GGA-PBE
State: relaxed

Geometry as POSCAR:
```
BeSb3C
1.0
4.806 0.000 0.000
0.000 4.806 0.000
0.000 0.000 4.806
Sb C Be
3 1 1
direct
0.500 0.000 0.000 Sb
0.000 0.000 0.500 Sb
0.000 0.500 0.000 Sb
0.500 0.500 0.500 C
0.000 0.000 0.000 Be
```

Values from the calculation:
SG	Pm-3m
crystal system	cubic
energy relative to the elements, uncorrected	158	kJ per mole of atoms

---

# 22
Material: Be2SbC
Method: DFT, GGA-PBE
State: relaxed

Geometry as POSCAR:
```
Be2SbC
1.0
-3.180 2.150 1.692
-0.445 4.088 -0.830
-3.164 1.317 -2.419
Sb Be C
1 2 1
direct
0.500 0.500 0.500 Sb
0.250 0.250 0.250 Be
0.750 0.750 0.750 Be
0.000 0.000 0.000 C
```

Values from the calculation:
SG	Fm-3m
ΔE to the lowest computed polymorph	1177.4	meV/atom
crystal system	cubic
energy relative to the elements, uncorrected	159	kJ per mole of atoms

---

# 23
Material: Be2SbC
Method: DFT, GGA-PBE
State: relaxed

Geometry as POSCAR:
```
Be2SbC
1.0
-2.229 -3.172 -3.903
-0.096 -4.241 3.502
-4.699 -2.660 0.969
Be Sb C
4 2 2
direct
0.375 0.624 0.750 Be
0.374 0.625 0.250 Be
0.875 0.626 0.750 Be
0.376 0.125 0.250 Be
0.000 0.000 0.000 Sb
0.750 0.250 0.500 Sb
0.250 0.750 0.500 C
0.500 0.500 0.000 C
```

Values from the calculation:
SG	I4_1/amd
ΔE to the lowest computed polymorph	0.0	meV/atom
crystal system	tetragonal
energy relative to the elements, uncorrected	46	kJ per mole of atoms

---

# 24
Material: ScBeSbC2
Method: DFT, GGA-PBE
State: relaxed

Geometry as POSCAR:
```
ScBeSbC2
1.0
-1.212 2.666 -2.481
-4.418 -1.868 0.151
-0.881 2.322 2.926
Be C Sc Sb
1 2 1 1
direct
0.000 0.000 0.000 Be
0.500 0.000 0.000 C
0.000 0.000 0.500 C
0.000 0.500 0.000 Sc
0.500 0.500 0.500 Sb
```

Values from the calculation:
SG	P4/mmm
crystal system	tetragonal
energy relative to the elements, uncorrected	133	kJ per mole of atoms

---

# 25
Material: Sc2BeSbC
Method: DFT, GGA-PBE
State: relaxed

Geometry as POSCAR:
```
Sc2BeSbC
1.0
-4.241 0.866 1.792
0.349 -3.829 2.676
1.529 1.995 2.655
Sc Sb Be C
2 1 1 1
direct
0.000 0.500 0.000 Sc
0.500 0.000 0.000 Sc
0.500 0.500 0.500 Sb
0.000 0.000 0.500 Be
0.000 0.000 0.000 C
```

Values from the calculation:
SG	P4/mmm
crystal system	tetragonal
energy relative to the elements, uncorrected	-51	kJ per mole of atoms

---

# 26
Material: BeSb2TeC
Method: DFT, GGA-PBE
State: relaxed

Geometry as POSCAR:
```
BeSb2TeC
1.0
-2.426 0.936 -3.905
3.351 -2.043 -2.571
-2.271 -4.227 0.398
Be C Sb Te
1 1 2 1
direct
0.500 0.500 0.500 Be
0.000 0.000 0.000 C
0.000 0.500 0.000 Sb
0.500 0.000 0.000 Sb
0.000 0.000 0.500 Te
```

Values from the calculation:
SG	P4/mmm
ΔE to the lowest computed polymorph	0.0	meV/atom
crystal system	tetragonal
energy relative to the elements, uncorrected	126	kJ per mole of atoms

---

# 27
Material: Ti2BeSbC
Method: DFT, GGA-PBE
State: relaxed

Geometry as POSCAR:
```
Ti2BeSbC
1.0
-3.269 2.693 -1.206
-2.931 -3.174 0.857
-0.279 1.163 3.354
Ti Be C Sb
2 1 1 1
direct
0.000 0.500 0.000 Ti
0.500 0.000 0.000 Ti
0.000 0.000 0.500 Be
0.000 0.000 0.000 C
0.500 0.500 0.500 Sb
```

Values from the calculation:
SG	P4/mmm
crystal system	tetragonal
energy relative to the elements, uncorrected	-33	kJ per mole of atoms

---

# 28
Material: ScBeC3
Method: DFT, GGA-PBE
State: relaxed

Geometry as POSCAR:
```
ScBeC3
1.0
3.594 0.000 0.000
0.000 3.594 0.000
0.000 0.000 3.594
C Be Sc
3 1 1
direct
0.000 0.000 0.500 C
0.500 0.000 0.000 C
0.000 0.500 0.000 C
0.000 0.000 0.000 Be
0.500 0.500 0.500 Sc
```

Values from the calculation:
SG	Pm-3m
ΔE to the lowest computed polymorph	0.0	meV/atom
ΔH_f (0 K)	1.365	eV/atom
crystal system	cubic

---

| no. | size of the total moment (μB per atom) |
| --- | --- |
| 1 | 0.141 |
| 2 | 0.000 |
| 3 | 0.000 |
| 4 | 0.000 |
| 5 | 0.000 |
| 6 | 0.202 |
| 7 | 0.103 |
| 8 | 0.000 |
| 9 | 0.000 |
| 10 | 0.359 |
| 11 | 0.000 |
| 12 | 0.176 |
| 13 | 0.000 |
| 14 | 0.000 |
| 15 | 0.000 |
| 16 | 0.038 |
| 17 | 0.000 |
| 18 | 0.355 |
| 19 | 0.210 |
| 20 | 0.000 |
| 21 | 0.000 |
| 22 | 0.000 |
| 23 | 0.000 |
| 24 | 0.000 |
| 25 | 0.000 |
| 26 | 0.000 |
| 27 | 0.183 |
| 28 | 0.000 |